1.
BaNbOs2F | Alexandria via LeMat-Bulk | PBE | optimized geometry; raw formation energy = 1223 meV/atom; crystal system = tetragonal; symmetry = No. 123
1.0
4.886 0.000 0.000
0.000 4.886 0.000
0.000 0.000 4.134
Ba Nb Os F
1 1 2 1
Direct
0.000 0.000 0.000
0.500 0.500 0.000
0.000 0.500 0.500
0.500 0.000 0.500
0.500 0.500 0.500

2.
CaDy | Alexandria via LeMat-Bulk | PBE | optimized geometry; crystal system = monoclinic; VASP energy = -0.234 Ry/atom; symmetry = No. 11
1.0
3.600 0.000 0.000
0.000 5.271 0.000
-0.009 0.000 7.527
Ca Dy
2 2
Direct
0.249 0.250 0.134
0.751 0.750 0.866
0.250 0.250 0.607
0.750 0.750 0.393

M_tot (μB per formula unit)
1.148 0.000